Entry 1:
Below is crystalline PmTl3Re2O9 at its relaxed geometry, with properties calculated at the PBE-GGA level.

The total energy comes out at -7.024 eV per atom. The density of states at the Fermi level is 5.92 states/eV/f.u. Its energy relative to the elements, uncorrected is -1.600 eV per atom.

The structure belongs to space group P-3m1 (No. 164); the cell edges are 5.8767, 5.8767 and 7.3051 Å and the angles 90.00°, 90.00° and 120.00°. The distinct sites, in fractional coordinates, are Pm at (0.0000, 0.0000, 0.0000), Tl at (0.0000, 0.0000, 0.5000), Tl at (0.3333, 0.6667, 0.1652), Re at (0.3333, 0.6667, 0.6532), O at (0.0000, 0.5000, 0.5000) and O at (0.1818, 0.3637, 0.8011).



Entry 2:
Below is crystalline PmTlReO6 at its relaxed geometry, with properties calculated at the PBE-GGA level.

The total energy comes out at -7.263 eV per atom. The density of states at the Fermi level is 3.55 states/eV/f.u. Its energy relative to the elements, uncorrected is -1.784 eV per atom.

The structure belongs to space group C2 (No. 5); the cell edges are 5.711, 9.937 and 4.962 Å and the angles 90.00°, 90.56° and 90.00°. The distinct sites, in fractional coordinates, are Pm at (0.000, 0.000, 0.000), Tl at (0.000, 0.332, 0.500), Re at (0.000, 0.666, 0.000), O at (0.132, 0.808, 0.217), O at (0.147, 0.533, 0.218) and O at (0.226, 0.162, 0.216).



Entry 3:
Below is crystalline Pm2TlReO8 at its relaxed geometry, with properties calculated at the PBE-GGA level.

The total energy comes out at -7.470 eV per atom. Its energy relative to the elements, uncorrected is -2.138 eV per atom.

The structure belongs to space group P-1 (No. 2); the cell edges are 4.905, 4.909 and 7.367 Å and the angles 91.73°, 91.71° and 93.89°. The distinct sites, in fractional coordinates, are Pm at (0.043, 0.042, 0.259), Tl at (0.500, 0.500, 0.000), Re at (0.500, 0.500, 0.500), O at (0.200, 0.201, 0.982), O at (0.220, 0.223, 0.536), O at (0.282, 0.645, 0.312) and O at (0.357, 0.720, 0.688).



Entry 4:
Below is crystalline PmTlRe2O8 at its relaxed geometry, with properties calculated at the PBE-GGA level.

The total energy comes out at -7.786 eV per atom. The density of states at the Fermi level is 6.81 states/eV/f.u. Its energy relative to the elements, uncorrected is -1.813 eV per atom.

The structure belongs to space group P-3 (No. 147); the cell edges are 6.1423, 6.1423 and 7.8065 Å and the angles 90.00°, 90.00° and 120.00°. The distinct sites, in fractional coordinates, are Pm at (0.0000, 0.0000, 0.0000), Tl at (0.0000, 0.0000, 0.5000), Re at (0.3333, 0.6667, 0.2630), O at (0.1725, 0.8256, 0.1835) and O at (0.3333, 0.6667, 0.4888).



Entry 5:
Below is crystalline Pm3Tl3ReO8 at its relaxed geometry, with properties calculated at the PBE-GGA level.

The total energy comes out at -6.901 eV per atom. The density of states at the Fermi level is 3.46 states/eV/f.u. Its energy relative to the elements, uncorrected is -2.003 eV per atom.

The structure belongs to space group C2/m (No. 12); the cell edges are 12.150, 7.013 and 7.757 Å and the angles 90.00°, 121.64° and 90.00°. The distinct sites, in fractional coordinates, are Pm at (0.000, 0.000, 0.000), Pm at (0.250, 0.250, 0.000), Tl at (0.000, 0.500, 0.500), Tl at (0.250, 0.250, 0.500), Re at (0.000, 0.500, 0.000), O at (0.020, 0.277, 0.837), O at (0.203, 0.500, 0.163) and O at (0.224, 0.000, 0.171).



Entry 6:
Below is crystalline Pm2Tl2ReO6 at its relaxed geometry, with properties calculated at the PBE-GGA level.

The total energy comes out at -7.054 eV per atom. The density of states at the Fermi level is 7.55 states/eV/f.u. Its energy relative to the elements, uncorrected is -1.924 eV per atom.

The structure belongs to space group C2/m (No. 12); the cell edges are 5.915, 10.368 and 7.440 Å and the angles 90.00°, 93.80° and 90.00°. The distinct sites, in fractional coordinates, are Pm at (0.000, 0.165, 0.000), Tl at (0.000, 0.344, 0.500), Re at (0.000, 0.500, 0.000), O at (0.131, 0.354, 0.859) and O at (0.199, 0.000, 0.863).



Entry 7:
Below is crystalline Pm2TmReO8 at its relaxed geometry, with properties calculated at the PBE-GGA level.

The total energy comes out at -8.225 eV per atom. The density of states at the Fermi level is 0.00 states/eV/f.u. Its energy relative to the elements, uncorrected is -2.718 eV per atom.

The structure belongs to space group Cmmm (No. 65); the cell edges are 7.204, 7.340 and 6.813 Å and the angles 90.00°, 90.00° and 90.00°. The distinct sites, in fractional coordinates, are Pm at (0.000, 0.000, 0.249), Tm at (0.000, 0.500, 0.000), Re at (0.000, 0.500, 0.500), O at (0.000, 0.324, 0.292), O at (0.201, 0.000, 0.000) and O at (0.238, 0.000, 0.500).



Entry 8:
Below is crystalline PmTmReO6 at its relaxed geometry, with properties calculated at the PBE-GGA level.

The total energy comes out at -8.299 eV per atom. The density of states at the Fermi level is 3.25 states/eV/f.u. Its energy relative to the elements, uncorrected is -2.585 eV per atom.

The structure belongs to space group P-31c (No. 163); the cell edges are 5.5759, 5.5759 and 9.2317 Å and the angles 90.00°, 90.00° and 120.00°. The distinct sites, in fractional coordinates, are Pm at (0.3333, 0.6667, 0.2500), Tm at (0.0000, 0.0000, 0.0000), Re at (0.3333, 0.6667, 0.7500) and O at (0.0560, 0.3687, 0.6313).